Density functional theory data (PBE) for LaAlV after structural relaxation.

Lattice parameters (Å, degrees): 5.119 5.119 5.380 101.79 101.79 93.36
Sites, in units of the cell vectors:
La 0.000 0.500 0.000
La 0.500 0.000 0.000
Al 0.160 0.160 0.439
Al 0.840 0.840 0.561
V 0.326 0.674 0.500
V 0.674 0.326 0.500

Density functional theory data (PBE) for LaAl20V2 after structural relaxation.

Lattice parameters (Å, degrees): 10.316 10.316 10.316 60.00 60.00 60.00
Sites, in units of the cell vectors:
La 0.125 0.125 0.125
La 0.875 0.875 0.875
Al 0.000 0.000 0.000
Al 0.000 0.000 0.500
Al 0.000 0.500 0.000
Al 0.057 0.326 0.326
Al 0.057 0.326 0.790
Al 0.057 0.790 0.326
Al 0.210 0.674 0.674
Al 0.210 0.674 0.943
Al 0.210 0.943 0.674
Al 0.237 0.237 0.513
Al 0.237 0.513 0.237
Al 0.237 0.513 0.513
Al 0.326 0.057 0.326
Al 0.326 0.057 0.790
Al 0.326 0.326 0.057
Al 0.326 0.326 0.790
Al 0.326 0.790 0.057
Al 0.326 0.790 0.326
Al 0.487 0.487 0.763
Al 0.487 0.763 0.487
Al 0.487 0.763 0.763
Al 0.500 0.000 0.000
Al 0.513 0.237 0.237
Al 0.513 0.237 0.513
Al 0.513 0.513 0.237
Al 0.674 0.210 0.674
Al 0.674 0.210 0.943
Al 0.674 0.674 0.210
Al 0.674 0.674 0.943
Al 0.674 0.943 0.210
Al 0.674 0.943 0.674
Al 0.763 0.487 0.487
Al 0.763 0.487 0.763
Al 0.763 0.763 0.487
Al 0.790 0.057 0.326
Al 0.790 0.326 0.057
Al 0.790 0.326 0.326
Al 0.943 0.210 0.674
Al 0.943 0.674 0.210
Al 0.943 0.674 0.674
V 0.000 0.500 0.500
V 0.500 0.000 0.500
V 0.500 0.500 0.000
V 0.500 0.500 0.500

Density functional theory data (PBE) for LaAlW2 after structural relaxation.

Lattice parameters (Å, degrees): 6.213 6.213 6.213 101.18 101.18 127.76
Sites, in units of the cell vectors:
La 0.000 0.000 0.000
La 0.750 0.250 0.500
Al 0.250 0.750 0.500
Al 0.500 0.500 0.000
W 0.179 0.625 0.054
W 0.375 0.429 0.554
W 0.571 0.125 0.946
W 0.875 0.821 0.446

Density functional theory data (PBE) for LaAlW after structural relaxation.

Lattice parameters (Å, degrees): 5.888 5.888 5.888 146.81 142.99 50.55
Sites, in units of the cell vectors:
La 0.000 0.000 0.000
Al 0.285 0.285 0.000
W 0.706 0.706 0.000

Output
Distance to the lowest polymorph of the same formula: 0 meV per atom

no.,calculated volume (Å³ per cell),N(E_F) (states/eV/atom),energy of formation (meV per atom)
1,134,1.25,119
2,776,0.35,-216
3,170,0.92,1025
4,67,0.74,313